Entry 1:
MoRh3 | GGA-PBE | optimized geometry

Cell: 3.867 3.867 8.201 Å, 76.36 76.36 90.00°
Atoms (fractional coordinates):
1 Mo 0.628 0.628 0.744
2 Rh 0.500 0.000 0.000
3 Rh 0.878 0.878 0.244
4 Rh 0.750 0.250 0.500
5 Rh 0.000 0.500 0.000
6 Rh 0.250 0.750 0.500
7 Rh 0.122 0.122 0.756
8 Mo 0.372 0.372 0.256

Properties
ΔE_f: -0.201 eV per atom
Final energy: -0.3095 Ha/atom

Entry 2:
Mo2Rh | GGA-PBE | optimized geometry

Cell: 6.402 6.402 3.761 Å, 90.00 90.00 143.43°
Atoms (fractional coordinates):
1 Mo 0.424 0.576 0.250
2 Mo 0.255 0.745 0.750
3 Mo 0.576 0.424 0.750
4 Mo 0.745 0.255 0.250
5 Rh 0.081 0.919 0.250
6 Rh 0.919 0.081 0.750

Properties
ΔE_f: -0.007 eV per atom
Final energy: -0.3557 Ha/atom

Entry 3:
MoRh | GGA-PBE | optimized geometry

Cell: 2.765 2.765 9.122 Å, 90.00 90.00 120.00°
Atoms (fractional coordinates):
1 Rh 0.333 0.667 0.753
2 Mo 0.333 0.667 0.261
3 Mo 0.000 0.000 0.989
4 Rh 0.000 0.000 0.497

Properties
ΔE_f: -0.037 eV per atom
Final energy: -0.3355 Ha/atom

Entry 4:
Mo3Rh | GGA-PBE | optimized geometry

Cell: 2.701 2.701 8.529 Å, 90.00 90.00 90.00°
Atoms (fractional coordinates):
1 Mo 0.000 0.000 0.018
2 Mo 0.500 0.500 0.750
3 Rh 0.500 0.500 0.250
4 Mo 0.000 0.000 0.482

Properties
ΔE_f: 0.059 eV per atom
Final energy: -0.3639 Ha/atom

Entry 5:
Mo2Rh | GGA-PBE | optimized geometry

Cell: 5.379 5.379 6.676 Å, 76.62 76.62 29.19°
Atoms (fractional coordinates):
1 Rh 0.528 0.528 0.194
2 Mo 0.190 0.190 0.864
3 Rh 0.472 0.472 0.806
4 Mo 0.133 0.133 0.475
5 Mo 0.810 0.810 0.136
6 Mo 0.867 0.867 0.525

Properties
ΔE_f: -0.041 eV per atom
Final energy: -0.3569 Ha/atom

Entry 6:
Mo3Rh2 | GGA-PBE | optimized geometry

Cell: 8.218 7.115 5.334 Å, 81.26 58.84 39.90°
Atoms (fractional coordinates):
1 Rh 0.205 0.890 0.360
2 Rh 0.890 0.705 0.045
3 Rh 0.360 0.045 0.705
4 Mo 0.056 0.944 0.944
5 Mo 0.899 0.807 0.500
6 Rh 0.545 0.360 0.890
7 Mo 0.794 0.500 0.807
8 Mo 0.306 0.194 0.194
9 Mo 0.750 0.456 0.351
10 Mo 0.443 0.351 0.456

Properties
ΔE_f: 0.003 eV per atom
Energy above the lowest structure with this stoichiometry: 0 meV per atom
Final energy: -0.3468 Ha/atom

Entry 7:
MoRh3 | GGA-PBE | optimized geometry

Cell: 4.729 4.729 4.729 Å, 131.63 131.62 70.83°
Atoms (fractional coordinates):
1 Rh 0.500 0.500 0.000
2 Mo 0.000 0.000 0.000
3 Rh 0.250 0.750 0.500
4 Rh 0.750 0.250 0.500

Properties
ΔE_f: -0.165 eV per atom
Final energy: -0.3082 Ha/atom

Entry 8:
Mo2Rh | GGA-PBE | optimized geometry

Cell: 6.036 6.036 6.036 Å, 90.00 90.00 90.00°
Atoms (fractional coordinates):
1 Mo 0.612 0.612 0.612
2 Mo 0.112 0.888 0.388
3 Mo 0.888 0.112 0.612
4 Rh 0.000 0.000 0.000
5 Rh 0.000 0.500 0.500
6 Mo 0.388 0.112 0.888
7 Rh 0.500 0.000 0.500
8 Mo 0.388 0.388 0.388
9 Rh 0.500 0.500 0.000
10 Mo 0.612 0.888 0.112
11 Mo 0.888 0.388 0.112
12 Mo 0.112 0.612 0.888

Properties
ΔE_f: 0.928 eV per atom
Final energy: -0.3213 Ha/atom

Among the records above, which one has the lowest ΔE_f?
number 1

Which value of final energy does entry 8 give?
-0.3213 Ha/atom

What is the final energy in the seventh record?
-0.3082 Ha/atom

The highest ΔE_f belongs to which entry?
number 8